1.
{"formula": "ZrCo2Ru", "functional": "GGA-PBE", "state": "relaxed", "polymorph_energy_ev_per_atom": 0.111, "ef_mev_per_atom": -10, "space_group": "F-43m", "cell": [[6.147, 0.000, 0.000], [0.000, 6.147, 0.000], [0.000, 0.000, 6.147]], "species": ["Zr", "Zr", "Zr", "Zr", "Co", "Co", "Co", "Co", "Co", "Co", "Co", "Co", "Ru", "Ru", "Ru", "Ru"], "fractional_positions": [[0.000, 0.000, 0.000], [0.000, 0.500, 0.500], [0.500, 0.000, 0.500], [0.500, 0.500, 0.000], [0.000, 0.000, 0.500], [0.000, 0.500, 0.000], [0.250, 0.250, 0.250], [0.250, 0.750, 0.750], [0.500, 0.000, 0.000], [0.500, 0.500, 0.500], [0.750, 0.250, 0.750], [0.750, 0.750, 0.250], [0.250, 0.250, 0.750], [0.250, 0.750, 0.250], [0.750, 0.250, 0.250], [0.750, 0.750, 0.750]]}

=====

2.
{"formula": "ZrCo2Ru", "functional": "GGA-PBE", "state": "relaxed", "polymorph_energy_ev_per_atom": 0.094, "ef_mev_per_atom": -27, "space_group": "Pm", "cell": [[2.910, 0.000, 0.000], [0.000, 4.027, 0.000], [-1.440, 0.000, 4.834]], "species": ["Zr", "Co", "Co", "Ru"], "fractional_positions": [[0.000, 0.000, 0.000], [0.593, 0.500, 0.189], [0.732, 0.000, 0.472], [0.308, 0.500, 0.621]]}

=====

3.
{"formula": "Zr2CoRu", "functional": "GGA-PBE", "state": "relaxed", "ef_mev_per_atom": -133, "space_group": "P4mm", "cell": [[3.597, 0.000, 0.000], [0.000, 3.597, 0.000], [0.000, 0.000, 5.561]], "species": ["Zr", "Zr", "Co", "Ru"], "fractional_positions": [[0.000, 0.000, 0.000], [0.500, 0.500, 0.370], [0.000, 0.000, 0.495], [0.500, 0.500, 0.856]]}

=====

| no. | volume (Å³/cell) | E (eV for the cell shown) |
| --- | --- | --- |
| 1 | 232.26 | -128.3 |
| 2 | 56.64 | -32.1 |
| 3 | 71.97 | -34.0 |